Entry A
Material: SmDy4Ag
Method: DFT, PBE
State: relaxed

Cell: 3.5679 3.5679 13.9104 Å, 90.00 90.00 90.00°
With the nearest neighbours (Å) after each atom.
Fractional coordinates of all 6 atoms:
Sm: 0.0000 0.0000 0.0000  4 Sm 3.57, 8 Dy 3.57
Dy: 0.5000 0.5000 0.1819  8 Dy 3.57, 4 Sm 3.57
Dy: 0.0000 0.0000 0.6365  4 Ag 3.16
Dy: 0.0000 0.0000 0.3635  4 Ag 3.16
Dy: 0.5000 0.5000 0.8181  8 Dy 3.57, 4 Sm 3.57
Ag: 0.5000 0.5000 0.5000  8 Dy 3.16

Entry B
Material: SmDy4Ag
Method: DFT, PBE
State: relaxed

Cell: 5.4510 6.4584 10.7846 Å, 90.00 104.64 90.00°
With the nearest neighbours (Å) after each atom.
Fractional coordinates of all 12 atoms:
Sm: 0.8653 0.7160 0.7306  2 Ag 3.23, 5 Dy 3.50-3.59
Sm: 0.1347 0.2160 0.2694  2 Ag 3.23, 5 Dy 3.50-3.59
Dy: 0.9338 0.2104 0.8677  2 Ag 3.28, 2 Sm 3.50-3.56, 6 Dy 3.54-3.67
Dy: 0.0662 0.7104 0.1323  2 Ag 3.28, 2 Sm 3.50-3.56, 6 Dy 3.54-3.67
Dy: 0.4655 0.8751 0.9310  2 Ag 2.93-3.00, 1 Dy 3.23
Dy: 0.5345 0.3751 0.0690  2 Ag 2.93-3.00, 1 Dy 3.23
Dy: 0.6764 0.5754 0.3528  1 Ag 2.96, 3 Dy 3.20-3.23
Dy: 0.3236 0.0754 0.6472  1 Ag 2.96, 3 Dy 3.20-3.23
Dy: 0.7434 0.0899 0.4867  1 Ag 3.04, 2 Dy 3.20
Dy: 0.2566 0.5899 0.5133  1 Ag 3.04, 2 Dy 3.20
Ag: 0.6029 0.9667 0.2058  4 Dy 2.93-3.04, 2 Sm 3.23
Ag: 0.3971 0.4667 0.7942  4 Dy 2.93-3.04, 2 Sm 3.23

The structure shown above that is least stable: entry B.